Compound: Mg3Cd2Hg
Source: the Alexandria database
Functional: PBE
Structure: relaxed

```
Mg3Cd2Hg
1.0
2.419 -7.237 0.000
2.419 7.237 0.000
0.000 0.000 3.681
Mg Cd Hg
3 2 1
Direct
0.000 0.000 0.000
0.339 0.661 0.000
0.661 0.339 0.000
0.172 0.828 0.500
0.828 0.172 0.500
0.500 0.500 0.500
```

Results
Energy ... -1.302 eV/atom
Excess energy over the best structure of this formula in the dataset ... 0.00 eV per formula unit
E_form ... -0.15 eV per atom
Calculated volume ... 21.5 Å³/atom

---

Compound: DyTcGe2
Source: the Alexandria database
Functional: PBE
Structure: relaxed

```
DyTcGe2
1.0
6.841 0.000 0.000
0.000 4.373 0.000
0.000 0.000 10.259
Dy Tc Ge
4 4 8
Direct
0.238 0.250 0.181
0.262 0.750 0.681
0.738 0.250 0.319
0.762 0.750 0.819
0.091 0.250 0.905
0.409 0.750 0.405
0.591 0.250 0.595
0.909 0.750 0.095
0.039 0.750 0.327
0.237 0.750 0.980
0.263 0.250 0.480
0.461 0.250 0.827
0.539 0.750 0.173
0.737 0.750 0.520
0.763 0.250 0.020
0.961 0.250 0.673
```

Results
Energy ... -6.519 eV/atom
Excess energy over the best structure of this formula in the dataset ... 0.17 eV per formula unit
E_form ... -0.47 eV per atom
Calculated volume ... 19.2 Å³/atom

---

Compound: SmSbIr4
Source: the Alexandria database
Functional: PBE
Structure: relaxed

```
SmSbIr4
1.0
0.000 3.802 3.802
3.802 0.000 3.802
3.802 3.802 0.000
Sm Sb Ir
1 1 4
Direct
0.000 0.000 0.000
0.250 0.250 0.250
0.126 0.625 0.625
0.625 0.126 0.625
0.625 0.625 0.126
0.625 0.625 0.625
```

Results
Energy ... -7.639 eV/atom
Energy relative to the elements, uncorrected ... -0.26 eV/atom
Calculated volume ... 18.3 Å³/atom

---

Compound: Pu3Mn2Hg
Source: the Alexandria database
Functional: PBE
Structure: relaxed

```
Pu3Mn2Hg
1.0
3.219 0.000 0.000
0.000 3.219 0.000
0.000 0.000 12.416
Pu Mn Hg
3 2 1
Direct
0.000 0.000 0.000
0.000 0.000 0.299
0.000 0.000 0.701
0.500 0.500 0.168
0.500 0.500 0.832
0.500 0.500 0.500
```

Results
Energy ... -10.088 eV/atom
E_form ... 0.18 eV per atom
Calculated volume ... 21.4 Å³/atom

---

Compound: ZnCd2P
Source: the Alexandria database
Functional: PBE
Structure: relaxed

```
ZnCd2P
1.0
2.832 0.000 0.000
0.000 3.640 0.000
0.000 0.000 7.621
Zn Cd P
1 2 1
Direct
0.000 0.000 0.000
0.000 0.000 0.563
0.500 0.500 0.266
0.500 0.500 0.830
```

Results
Energy ... -1.930 eV/atom
Excess energy over the best structure of this formula in the dataset ... 0.40 eV per formula unit
E_form ... 0.20 eV per atom
Calculated volume ... 19.6 Å³/atom

---

Compound: Pu3ScP4
Source: the Alexandria database
Functional: PBE
Structure: relaxed

```
Pu3ScP4
1.0
3.918 -5.546 0.000
3.918 5.546 0.000
0.000 0.000 3.941
Pu Sc P
3 1 4
Direct
0.000 0.000 0.000
0.000 0.500 0.500
0.500 0.000 0.500
0.500 0.500 0.000
0.256 0.744 0.000
0.258 0.258 0.500
0.742 0.742 0.500
0.744 0.256 0.000
```

Results
Energy ... -10.061 eV/atom
Excess energy over the best structure of this formula in the dataset ... 0.16 eV per formula unit
E_form ... -1.19 eV per atom
Calculated volume ... 21.4 Å³/atom

---

Compound: MgTaH2Ru
Source: the Alexandria database
Functional: PBE
Structure: relaxed

```
MgTaH2Ru
1.0
3.813 0.000 0.000
0.000 3.813 0.000
0.000 0.000 4.840
Mg Ta H Ru
1 1 2 1
Direct
0.000 0.000 0.000
0.500 0.500 0.000
0.000 0.500 0.500
0.500 0.000 0.500
0.500 0.500 0.500
```

Results
Energy ... -5.095 eV/atom
Calculated volume ... 14.1 Å³/atom

---

Compound: CdTe2Pd7Pb2
Source: the Alexandria database
Functional: PBE
Structure: relaxed

```
CdTe2Pd7Pb2
1.0
2.915 -2.909 0.000
2.915 2.909 0.000
-1.551 0.000 14.969
Cd Te Pd Pb
1 2 7 2
Direct
0.000 0.000 0.000
0.435 0.435 0.758
0.565 0.565 0.242
0.037 0.536 0.133
0.390 0.390 0.579
0.464 0.963 0.867
0.500 0.500 0.000
0.536 0.037 0.133
0.610 0.610 0.421
0.963 0.464 0.867
0.119 0.119 0.404
0.881 0.881 0.596
```

Results
Energy ... -4.521 eV/atom
Energy relative to the elements, uncorrected ... -0.27 eV/atom
Calculated volume ... 21.2 Å³/atom

---

Compound: Be4IrOs
Source: the Alexandria database
Functional: PBE
Structure: relaxed

```
Be4IrOs
1.0
0.000 3.087 3.087
3.087 0.000 3.087
3.087 3.087 0.000
Be Ir Os
4 1 1
Direct
0.376 0.376 0.376
0.376 0.376 0.873
0.376 0.873 0.376
0.873 0.376 0.376
0.000 0.000 0.000
0.750 0.750 0.750
```

Results
Energy ... -6.151 eV/atom
E_form ... -0.32 eV per atom
Calculated volume ... 9.8 Å³/atom

---

Compound: ZrAlCoC2
Source: the Alexandria database
Functional: PBE
Structure: relaxed

```
ZrAlCoC2
1.0
3.812 0.000 0.000
0.000 3.812 0.000
0.000 0.000 5.329
Zr Al Co C
1 1 1 2
Direct
0.000 0.000 0.000
0.000 0.000 0.500
0.500 0.500 0.000
0.000 0.500 0.500
0.500 0.000 0.500
```

Results
Energy ... -5.695 eV/atom
E_form ... 1.87 eV per atom
Calculated volume ... 15.5 Å³/atom

---

Compound: Nd19Dy4Er6
Source: the Alexandria database
Functional: PBE
Structure: relaxed

```
Nd19Dy4Er6
1.0
-6.345 6.345 6.345
6.345 -6.345 6.345
6.345 6.345 -6.345
Nd Dy Er
19 4 6
Direct
0.000 0.000 0.000
0.000 0.261 0.261
0.000 0.739 0.739
0.018 0.219 0.675
0.201 0.982 0.657
0.219 0.675 0.018
0.261 0.000 0.261
0.261 0.261 0.000
0.325 0.544 0.343
0.343 0.325 0.544
0.456 0.781 0.799
0.544 0.343 0.325
0.657 0.201 0.982
0.675 0.018 0.219
0.739 0.000 0.739
0.739 0.739 0.000
0.781 0.799 0.456
0.799 0.456 0.781
0.982 0.657 0.201
0.000 0.000 0.360
0.000 0.360 0.000
0.360 0.000 0.000
0.640 0.640 0.640
0.125 0.500 0.625
0.375 0.875 0.500
0.500 0.375 0.875
0.500 0.625 0.125
0.625 0.125 0.500
0.875 0.500 0.375
```

Results
Energy ... -4.337 eV/atom
E_form ... 0.37 eV per atom
Calculated volume ... 35.2 Å³/atom

---

Compound: NdDy2Er6
Source: the Alexandria database
Functional: PBE
Structure: relaxed

```
NdDy2Er6
1.0
10.593 0.000 0.000
0.000 10.593 0.000
0.000 0.000 5.002
Nd Dy Er
2 4 12
Direct
0.000 0.000 0.000
0.500 0.500 0.500
0.168 0.168 0.500
0.332 0.668 0.000
0.668 0.332 0.000
0.832 0.832 0.500
0.000 0.335 0.000
0.000 0.665 0.000
0.165 0.500 0.500
0.168 0.832 0.500
0.332 0.332 0.000
0.335 0.000 0.000
0.500 0.165 0.500
0.500 0.835 0.500
0.665 0.000 0.000
0.668 0.668 0.000
0.832 0.168 0.500
0.835 0.500 0.500
```

Results
Energy ... -4.572 eV/atom
Excess energy over the best structure of this formula in the dataset ... 0.00 eV per formula unit
E_form ... 0.02 eV per atom
Calculated volume ... 31.2 Å³/atom

---

Compound: RbHg2Se2I
Source: the Alexandria database
Functional: PBE
Structure: relaxed

```
RbHg2Se2I
1.0
7.334 0.000 0.000
0.000 7.252 0.000
-3.176 0.000 9.619
Rb Hg Se I
2 4 4 2
Direct
0.237 0.250 0.017
0.763 0.750 0.983
0.299 0.505 0.633
0.299 0.995 0.633
0.701 0.005 0.367
0.701 0.495 0.367
0.073 0.250 0.644
0.470 0.250 0.387
0.530 0.750 0.613
0.927 0.750 0.356
0.238 0.750 0.932
0.762 0.250 0.068
```

Results
Energy ... -2.273 eV/atom
Energy relative to the elements, uncorrected ... -0.59 eV/atom
Calculated volume ... 42.6 Å³/atom

---

Compound: Ba2GePdBr
Source: the Alexandria database
Functional: PBE
Structure: relaxed

```
Ba2GePdBr
1.0
6.277 0.000 0.000
0.000 6.277 0.000
0.000 0.000 4.688
Ba Ge Pd Br
2 1 1 1
Direct
0.000 0.500 0.000
0.500 0.000 0.000
0.000 0.000 0.500
0.000 0.000 0.000
0.500 0.500 0.500
```

Results
Energy ... -3.966 eV/atom
Energy relative to the elements, uncorrected ... -0.90 eV/atom
Calculated volume ... 36.9 Å³/atom

---

Compound: TbPm2Zn
Source: the Alexandria database
Functional: PBE
Structure: relaxed

```
TbPm2Zn
1.0
1.827 1.055 10.455
-1.827 1.055 10.455
0.000 -2.110 10.455
Tb Pm Zn
1 2 1
Direct
0.000 0.000 0.000
0.239 0.239 0.239
0.427 0.427 0.427
0.834 0.834 0.834
```

Results
Energy ... -3.882 eV/atom
Excess energy over the best structure of this formula in the dataset ... 0.47 eV per formula unit
E_form ... -0.03 eV per atom
Calculated volume ... 30.2 Å³/atom

---

Compound: Li2Cd5Rh
Source: the Alexandria database
Functional: PBE
Structure: relaxed

```
Li2Cd5Rh
1.0
5.783 0.000 0.000
0.000 11.620 0.000
0.000 0.000 4.440
Li Cd Rh
4 10 2
Direct
0.215 0.125 0.000
0.285 0.625 0.000
0.715 0.375 0.000
0.785 0.875 0.000
0.000 0.000 0.500
0.067 0.739 0.500
0.200 0.388 0.000
0.300 0.888 0.000
0.433 0.239 0.500
0.500 0.500 0.500
0.567 0.761 0.500
0.700 0.112 0.000
0.800 0.612 0.000
0.933 0.261 0.500
0.000 0.500 0.500
0.500 0.000 0.500
```

Results
Energy ... -2.165 eV/atom
E_form ... -0.20 eV per atom
Calculated volume ... 18.6 Å³/atom

---

Compound: MoAu2Br
Source: the Alexandria database
Functional: PBE
Structure: relaxed

```
MoAu2Br
1.0
-1.966 1.966 5.328
1.966 -1.966 5.328
1.966 1.966 -5.328
Mo Au Br
1 2 1
Direct
0.000 0.000 0.000
0.250 0.750 0.500
0.750 0.250 0.500
0.500 0.500 0.000
```

Results
Energy ... -4.046 eV/atom
Energy relative to the elements, uncorrected ... 0.72 eV/atom
Excess energy over the best structure of this formula in the dataset ... 1.99 eV per formula unit
Calculated volume ... 20.6 Å³/atom

---

Compound: CaMg2Pb
Source: the Alexandria database
Functional: PBE
Structure: relaxed

```
CaMg2Pb
1.0
0.000 3.778 3.778
3.778 0.000 3.778
3.778 3.778 0.000
Ca Mg Pb
1 2 1
Direct
0.000 0.000 0.000
0.250 0.250 0.250
0.500 0.500 0.500
0.750 0.750 0.750
```

Results
Energy ... -2.427 eV/atom
Excess energy over the best structure of this formula in the dataset ... 0.15 eV per formula unit
E_form ... -0.20 eV per atom
Calculated volume ... 27.0 Å³/atom

---

Compound: GaPbW3
Source: the Alexandria database
Functional: PBE
Structure: relaxed

```
GaPbW3
1.0
5.004 0.000 0.000
0.000 5.004 0.000
0.000 0.000 5.004
Ga Pb W
1 1 3
Direct
0.000 0.000 0.000
0.500 0.500 0.500
0.000 0.500 0.500
0.500 0.000 0.500
0.500 0.500 0.000
```

Results
Energy ... -5.951 eV/atom
Excess energy over the best structure of this formula in the dataset ... 6.55 eV per formula unit
E_form ... 3.17 eV per atom
Calculated volume ... 25.1 Å³/atom

---

Compound: HgSb3Br
Source: the Alexandria database
Functional: PBE
Structure: relaxed

```
HgSb3Br
1.0
5.630 0.000 0.000
0.000 5.630 0.000
0.000 0.000 5.630
Hg Sb Br
1 3 1
Direct
0.000 0.000 0.000
0.000 0.000 0.500
0.000 0.500 0.000
0.500 0.000 0.000
0.500 0.500 0.500
```

Results
Energy ... -2.122 eV/atom
Energy relative to the elements, uncorrected ... 0.75 eV/atom
Excess energy over the best structure of this formula in the dataset ... 0.00 eV per formula unit
Calculated volume ... 35.7 Å³/atom

---

Compound: Dy3ErS3
Source: the Alexandria database
Functional: PBE
Structure: relaxed

```
Dy3ErS3
1.0
10.909 0.000 0.000
0.000 10.909 0.000
0.000 0.000 5.460
Dy Er S
12 4 12
Direct
0.121 0.373 0.000
0.126 0.126 0.500
0.127 0.621 0.500
0.373 0.121 0.000
0.374 0.626 0.000
0.379 0.873 0.500
0.621 0.127 0.500
0.626 0.374 0.000
0.627 0.879 0.000
0.873 0.379 0.500
0.874 0.874 0.500
0.879 0.627 0.000
0.122 0.878 0.000
0.378 0.378 0.500
0.622 0.622 0.500
0.878 0.122 0.000
0.124 0.124 0.000
0.126 0.628 0.000
0.128 0.374 0.500
0.372 0.874 0.000
0.374 0.128 0.500
0.376 0.624 0.500
0.624 0.376 0.500
0.626 0.872 0.500
0.628 0.126 0.000
0.872 0.626 0.500
0.874 0.372 0.000
0.876 0.876 0.000
```

Results
Energy ... -6.077 eV/atom
Energy relative to the elements, uncorrected ... -1.68 eV/atom
Calculated volume ... 23.2 Å³/atom

---

Compound: Ti4In3Co
Source: the Alexandria database
Functional: PBE
Structure: relaxed

```
Ti4In3Co
1.0
2.949 0.000 0.000
0.000 2.949 0.000
0.000 0.000 16.268
Ti In Co
4 3 1
Direct
0.000 0.000 0.095
0.000 0.000 0.367
0.000 0.000 0.633
0.000 0.000 0.905
0.500 0.500 0.233
0.500 0.500 0.500
0.500 0.500 0.767
0.500 0.500 0.000
```

Results
Energy ... -6.047 eV/atom
E_form ... -0.18 eV per atom
Calculated volume ... 17.7 Å³/atom

---

Compound: Cs2PrAuCl6
Source: the Alexandria database
Functional: PBE
Structure: relaxed

```
Cs2PrAuCl6
1.0
7.863 0.000 0.000
-1.197 7.774 0.000
-3.342 -3.879 5.978
Cs Pr Au Cl
2 1 1 6
Direct
0.250 0.250 0.000
0.750 0.750 0.000
0.000 0.500 0.500
0.500 0.000 0.500
0.229 0.728 0.957
0.230 0.272 0.501
0.271 0.772 0.500
0.729 0.228 0.500
0.770 0.728 0.499
0.771 0.272 0.043
```

Results
Energy ... -3.803 eV/atom
Energy relative to the elements, uncorrected ... -1.72 eV/atom
Calculated volume ... 36.5 Å³/atom